Entry 1:
ScAlIr2 | PBE | relaxed

As for the space-group type: F-43m (216). As for the total energy: -7.33 eV/atom.

Cell: 4.4842 4.4842 4.4842 Å, 60.00 60.00 60.00°
Positions (direct):
Sc 0.7500 0.7500 0.7500
Ir 0.0000 0.0000 0.0000
Al 0.5000 0.5000 0.5000
Ir 0.2500 0.2500 0.2500

Entry 2:
Sc6Al5Ir | PBE | relaxed

As for the space-group type: Cmmm (65). As for the total energy: -6.01 eV/atom.

Cell: 4.7535 6.6532 7.5113 Å, 90.00 71.55 90.00°
Positions (direct):
Al 0.3319 0.0000 0.3362
Ir 0.0000 0.0000 0.0000
Al 0.6681 0.0000 0.6638
Sc 0.1624 0.7546 0.6752
Sc 0.1624 0.2454 0.6752
Sc 0.5000 0.7542 0.0000
Al 0.6705 0.5000 0.6589
Sc 0.8376 0.2454 0.3248
Sc 0.8376 0.7546 0.3248
Al 0.3295 0.5000 0.3411
Sc 0.5000 0.2458 0.0000
Al 0.0000 0.5000 0.0000

Entry 3:
ScAlIr2 | PBE | relaxed

As for the space-group type: R-3m (166). As for the total energy: -7.51 eV/atom.

Cell: 8.3816 8.3816 8.3816 Å, 20.53 20.53 20.53°
Positions (direct):
Ir 0.4962 0.4962 0.4962
Ir 0.0038 0.0038 0.0038
Sc 0.2500 0.2500 0.2500
Al 0.7500 0.7500 0.7500